Below is a relaxed structure of CaEr2Pt2, with properties calculated at the PBE-GGA level.

a = 7.8940 Å, b = 7.8940 Å, c = 3.7757 Å
α = 90.00°, β = 90.00°, γ = 90.00°
Last column: nearest neighbours and their distance in Å.
Fractional coordinates of all 10 atoms:
Ca1 0.0000 0.0000 0.0000  4 Pt 3.06
Ca2 0.5000 0.5000 0.0000  4 Pt 3.06
Er1 0.1548 0.3452 0.5000  6 Pt 2.98-2.99
Er2 0.3452 0.8452 0.5000  6 Pt 2.98-2.99
Er3 0.6548 0.1548 0.5000  6 Pt 2.98-2.99
Er4 0.8452 0.6548 0.5000  6 Pt 2.98-2.99
Pt1 0.1381 0.6381 0.0000  6 Er 2.98-2.99, 2 Ca 3.06, 1 Pt 3.08
Pt2 0.3619 0.1381 0.0000  6 Er 2.98-2.99, 2 Ca 3.06, 1 Pt 3.08
Pt3 0.6381 0.8619 0.0000  6 Er 2.98-2.99, 2 Ca 3.06, 1 Pt 3.08
Pt4 0.8619 0.3619 0.0000  6 Er 2.98-2.99, 2 Ca 3.06, 1 Pt 3.08

Calculated values
Symmetry ... P4/mbm (127)
V ... 118 Å³/f.u.
Formation enthalpy at 0 K ... -1.03 eV per atom